Record 1
Sc2H3Au after structural relaxation, computed with PBE.

CIF file:
```
data_Sc2H3Au
_cell_length_a 11.218
_cell_length_b 3.364
_cell_length_c 7.892
_cell_angle_alpha 90.00
_cell_angle_beta 112.43
_cell_angle_gamma 90.00
_space_group_name_H-M_alt 'C 1 2/m 1'
_space_group_IT_number 12
_space_group_name_Hall '-C 2y'
loop_
_atom_site_label
_atom_site_type_symbol
_atom_site_fract_x
_atom_site_fract_y
_atom_site_fract_z
Sc1 Sc 0.010 0.000 0.209
Sc2 Sc 0.163 0.500 0.599
H1 H 0.007 0.500 0.355
H2 H 0.143 0.000 0.720
H3 H 0.168 0.000 0.447
Au1 Au 0.173 0.500 0.077
```

As for the total moment: 0.00 μB per cell.


Record 2
Cr2ReW after structural relaxation, computed with PBE.

CIF file:
```
data_Cr2ReW
_cell_length_a 2.7234
_cell_length_b 2.7234
_cell_length_c 26.3124
_cell_angle_alpha 90.00
_cell_angle_beta 90.00
_cell_angle_gamma 120.00
_space_group_name_H-M_alt 'R -3 m'
_space_group_IT_number 166
_space_group_name_Hall '-R 3 2"'
loop_
_atom_site_label
_atom_site_type_symbol
_atom_site_fract_x
_atom_site_fract_y
_atom_site_fract_z
Cr1 Cr 0.0000 0.0000 0.2470
Re1 Re 0.0000 0.0000 0.5000
W1 W 0.0000 0.0000 0.0000
```

As for the total moment: 0.00 μB per cell. The value obtained for the formation energy is 0.373 eV/atom.


Record 3
Mg2ZnW after structural relaxation, computed with PBE.

CIF file:
```
data_Mg2ZnW
_cell_length_a 2.9225
_cell_length_b 2.9225
_cell_length_c 28.6877
_cell_angle_alpha 90.00
_cell_angle_beta 90.00
_cell_angle_gamma 120.00
_space_group_name_H-M_alt 'R -3 m'
_space_group_IT_number 166
_space_group_name_Hall '-R 3 2"'
loop_
_atom_site_label
_atom_site_type_symbol
_atom_site_fract_x
_atom_site_fract_y
_atom_site_fract_z
Mg1 Mg 0.0000 0.0000 0.2495
Zn1 Zn 0.0000 0.0000 0.0000
W1 W 0.0000 0.0000 0.5000
```

As for the total moment: 0.00 μB per cell. The value obtained for the formation energy is 0.307 eV/atom.


Record 4
KAs2Se after structural relaxation, computed with PBE.

CIF file:
```
data_KAs2Se
_cell_length_a 4.291
_cell_length_b 4.291
_cell_length_c 5.018
_cell_angle_alpha 90.00
_cell_angle_beta 90.00
_cell_angle_gamma 90.00
_space_group_name_H-M_alt 'P 4/m m m'
_space_group_IT_number 123
_space_group_name_Hall '-P 4 2'
loop_
_atom_site_label
_atom_site_type_symbol
_atom_site_fract_x
_atom_site_fract_y
_atom_site_fract_z
K1 K 0.000 0.000 0.000
As1 As 0.000 0.500 0.500
Se1 Se 0.500 0.500 0.000
```

Its uncorrected formation energy is 0.11 eV/atom. As for the total moment: 0.00 μB per cell.


VASP energy per entry: -4.9718, -10.7888, -4.0466, -3.3649 eV per atom